1.
# ZrFeSi2

A relaxed ZrFeSi2 crystal (PBEsol, Alexandria via LeMat-Bulk).

The structure in POSCAR format:
```
ZrFeSi2
1.0
1.907 1.101 4.519
-1.907 1.101 4.519
0.000 -2.202 4.519
Zr Fe Si
1 1 2
direct
0.000 0.000 0.000
0.500 0.500 0.500
0.213 0.213 0.213
0.787 0.787 0.787
```

Summary:
Space-group type = R-3m
ΔE_f (raw) = -0.75 eV per atom
Crystal system = trigonal

2.
# Zr4Fe4Si7

A relaxed Zr4Fe4Si7 crystal (PBEsol, Alexandria via LeMat-Bulk).

The structure in POSCAR format:
```
Zr4Fe4Si7
1.0
-6.455 6.455 2.499
6.455 -6.455 2.499
6.455 6.455 -2.499
Zr Fe Si
8 8 14
direct
0.000 0.197 0.197
0.000 0.803 0.803
0.197 0.000 0.197
0.362 0.362 0.723
0.362 0.638 0.000
0.638 0.362 0.000
0.638 0.638 0.277
0.803 0.000 0.803
0.102 0.602 0.204
0.102 0.898 0.500
0.398 0.602 0.500
0.398 0.898 0.796
0.602 0.102 0.204
0.602 0.398 0.500
0.898 0.102 0.500
0.898 0.398 0.796
0.000 0.408 0.408
0.000 0.592 0.592
0.198 0.500 0.698
0.211 0.211 0.421
0.211 0.789 0.000
0.250 0.250 0.000
0.408 0.000 0.408
0.500 0.198 0.698
0.500 0.802 0.302
0.592 0.000 0.592
0.750 0.750 0.000
0.789 0.211 0.000
0.789 0.789 0.579
0.802 0.500 0.302
```

Summary:
Space-group type = I4/mmm
ΔE_f (raw) = -0.85 eV per atom
Crystal system = tetragonal

3.
# Zr6Fe16Si7

A relaxed Zr6Fe16Si7 crystal (PBEsol, Alexandria via LeMat-Bulk).

The structure in POSCAR format:
```
Zr6Fe16Si7
1.0
0.000 5.653 5.653
5.653 0.000 5.653
5.653 5.653 0.000
Zr Fe Si
6 16 7
direct
0.208 0.208 0.792
0.208 0.792 0.208
0.208 0.792 0.792
0.792 0.208 0.208
0.792 0.208 0.792
0.792 0.792 0.208
0.133 0.622 0.622
0.176 0.176 0.176
0.176 0.176 0.471
0.176 0.471 0.176
0.378 0.378 0.378
0.378 0.378 0.867
0.378 0.867 0.378
0.471 0.176 0.176
0.529 0.824 0.824
0.622 0.133 0.622
0.622 0.622 0.133
0.622 0.622 0.622
0.824 0.529 0.824
0.824 0.824 0.529
0.824 0.824 0.824
0.867 0.378 0.378
0.000 0.000 0.500
0.000 0.500 0.000
0.000 0.500 0.500
0.500 0.000 0.000
0.500 0.000 0.500
0.500 0.500 0.000
0.500 0.500 0.500
```

Summary:
Space-group type = Fm-3m
ΔE_f (raw) = -0.64 eV per atom
Crystal system = cubic

4.
# ZrFeSi2

A relaxed ZrFeSi2 crystal (PBEsol, Alexandria via LeMat-Bulk).

The structure in POSCAR format:
```
ZrFeSi2
1.0
0.000 3.056 3.056
3.056 0.000 3.056
3.056 3.056 0.000
Zr Fe Si
1 1 2
direct
0.000 0.000 0.000
0.500 0.500 0.500
0.250 0.250 0.250
0.750 0.750 0.750
```

Summary:
Space-group type = Fm-3m
ΔE_f (raw) = -0.17 eV per atom
Crystal system = cubic

5.
# SmFe3

A relaxed SmFe3 crystal (PBEsol, Alexandria via LeMat-Bulk).

The structure in POSCAR format:
```
SmFe3
1.0
2.512 1.450 8.023
-2.512 1.450 8.023
0.000 -2.900 8.023
Sm Fe
3 9
direct
0.000 0.000 0.000
0.142 0.142 0.142
0.858 0.858 0.858
0.082 0.580 0.580
0.333 0.333 0.333
0.420 0.420 0.918
0.420 0.918 0.420
0.500 0.500 0.500
0.580 0.082 0.580
0.580 0.580 0.082
0.667 0.667 0.667
0.918 0.420 0.420
```

Summary:
Energy of formation = 31 meV per atom
Space-group type = R-3m
Crystal system = trigonal

6.
# TiFeSn2

A relaxed TiFeSn2 crystal (PBEsol, Alexandria via LeMat-Bulk).

The structure in POSCAR format:
```
TiFeSn2
1.0
0.000 3.241 3.241
3.241 0.000 3.241
3.241 3.241 0.000
Ti Fe Sn
1 1 2
direct
0.000 0.000 0.000
0.500 0.500 0.500
0.250 0.250 0.250
0.750 0.750 0.750
```

Summary:
Energy of formation = 98 meV per atom
Space-group type = Fm-3m
Crystal system = cubic

7.
# ZrFe6Sn6

A relaxed ZrFe6Sn6 crystal (PBEsol, Alexandria via LeMat-Bulk).

The structure in POSCAR format:
```
ZrFe6Sn6
1.0
5.281 0.000 0.000
-2.640 4.573 0.000
0.000 0.000 8.759
Zr Fe Sn
1 6 6
direct
0.000 0.000 0.000
0.000 0.500 0.247
0.000 0.500 0.753
0.500 0.000 0.247
0.500 0.000 0.753
0.500 0.500 0.247
0.500 0.500 0.753
0.000 0.000 0.332
0.000 0.000 0.668
0.333 0.667 0.000
0.333 0.667 0.500
0.667 0.333 0.000
0.667 0.333 0.500
```

Summary:
Energy of formation = -102 meV per atom
Space-group type = P6/mmm
Crystal system = hexagonal

8.
# SrFe

A relaxed SrFe crystal (PBEsol, Alexandria via LeMat-Bulk).

The structure in POSCAR format:
```
SrFe
1.0
-1.813 2.460 5.524
1.813 -2.460 5.524
1.813 2.460 -5.524
Sr Fe
2 2
direct
0.359 0.109 0.250
0.641 0.891 0.750
0.058 0.308 0.750
0.942 0.692 0.250
```

Summary:
Energy of formation = 591 meV per atom
Space-group type = Imma
Crystal system = orthorhombic

9.
# Sr3Fe

A relaxed Sr3Fe crystal (PBEsol, Alexandria via LeMat-Bulk).

The structure in POSCAR format:
```
Sr3Fe
1.0
5.823 3.362 1.263
-5.823 3.362 1.263
0.000 -6.724 1.263
Sr Fe
3 1
direct
0.000 0.500 0.500
0.500 0.000 0.500
0.500 0.500 0.000
0.000 0.000 0.000
```

Summary:
Energy of formation = 776 meV per atom
Space-group type = R-3m
Crystal system = trigonal

10.
# Sr2TaFe

A relaxed Sr2TaFe crystal (PBEsol, Alexandria via LeMat-Bulk).

The structure in POSCAR format:
```
Sr2TaFe
1.0
5.694 0.000 0.000
0.000 5.694 0.000
0.000 0.000 3.128
Sr Ta Fe
2 1 1
direct
0.000 0.500 0.000
0.500 0.000 0.000
0.000 0.000 0.500
0.500 0.500 0.500
```

Summary:
Energy of formation = 1323 meV per atom
Space-group type = P4/mmm
Crystal system = tetragonal

11.
# Sr2TaFe

A relaxed Sr2TaFe crystal (PBEsol, Alexandria via LeMat-Bulk).

The structure in POSCAR format:
```
Sr2TaFe
1.0
-1.631 1.856 9.097
1.631 -1.856 9.097
1.631 1.856 -9.097
Sr Ta Fe
2 1 1
direct
0.151 0.151 0.000
0.849 0.849 0.000
0.500 0.000 0.500
0.000 0.500 0.500
```

Summary:
Energy of formation = 573 meV per atom
Space-group type = Immm
Crystal system = orthorhombic

12.
# Sr2TaFe

A relaxed Sr2TaFe crystal (PBEsol, Alexandria via LeMat-Bulk).

The structure in POSCAR format:
```
Sr2TaFe
1.0
0.000 3.777 3.777
3.777 0.000 3.777
3.777 3.777 0.000
Sr Ta Fe
2 1 1
direct
0.250 0.250 0.250
0.750 0.750 0.750
0.000 0.000 0.000
0.500 0.500 0.500
```

Summary:
Energy of formation = 1450 meV per atom
Space-group type = Fm-3m
Crystal system = cubic